(1)
# MnAuI2, relaxed, DFT PBE
data_MnAuI2
_chemical_formula_sum 'Mn2 Au2 I4'
_space_group_name_H-M_alt 'P 1'
_space_group_IT_number 1
_space_group_name_Hall 'P 1'
_cell_length_a 6.476
_cell_length_b 6.476
_cell_length_c 7.218
_cell_angle_alpha 63.34
_cell_angle_beta 63.34
_cell_angle_gamma 90.00
loop_
_atom_site_label
_atom_site_type_symbol
_atom_site_fract_x
_atom_site_fract_y
_atom_site_fract_z
_atom_site_occupancy
I1 I 0.574 0.125 0.250 1
I2 I 0.176 0.625 0.250 1
I3 I 0.375 0.426 0.750 1
I4 I 0.875 0.824 0.750 1
Mn1 Mn 0.500 0.500 0.000 1
Mn2 Mn 0.250 0.750 0.500 1
Au1 Au 0.000 0.000 0.000 1
Au2 Au 0.750 0.250 0.500 1
# Uncorrected formation energy (eV per atom): 0.611
# Relative energy among the computed polymorphs (kJ/mol of formula units): 0.0
# Magnetization (μB per formula unit): 0.00
# VASP energy (eV/atom): -3.276
# SG: I-42d (122)

***

(2)
# TaTl3B, relaxed, DFT PBE
data_TaTl3B
_chemical_formula_sum 'Ta1 Tl3 B1'
_space_group_name_H-M_alt 'P 1'
_space_group_IT_number 1
_space_group_name_Hall 'P 1'
_cell_length_a 5.494
_cell_length_b 5.494
_cell_length_c 5.494
_cell_angle_alpha 90.00
_cell_angle_beta 90.00
_cell_angle_gamma 90.00
loop_
_atom_site_label
_atom_site_type_symbol
_atom_site_fract_x
_atom_site_fract_y
_atom_site_fract_z
_atom_site_occupancy
Tl1 Tl 0.000 0.500 0.000 1
Tl2 Tl 0.000 0.000 0.500 1
Tl3 Tl 0.500 0.000 0.000 1
B1 B 0.500 0.500 0.500 1
Ta1 Ta 0.000 0.000 0.000 1
# Relative energy among the computed polymorphs (kJ/mol of formula units): 87.4
# Magnetization (μB per formula unit): 0.00
# VASP energy (eV/atom): -3.502
# SG: Pm-3m (221)

***

(3)
# VNiAs3, relaxed, DFT PBE
data_VNiAs3
_chemical_formula_sum 'V1 Ni1 As3'
_space_group_name_H-M_alt 'P 1'
_space_group_IT_number 1
_space_group_name_Hall 'P 1'
_cell_length_a 4.592
_cell_length_b 4.592
_cell_length_c 4.592
_cell_angle_alpha 90.00
_cell_angle_beta 90.00
_cell_angle_gamma 90.00
loop_
_atom_site_label
_atom_site_type_symbol
_atom_site_fract_x
_atom_site_fract_y
_atom_site_fract_z
_atom_site_occupancy
Ni1 Ni 0.000 0.000 0.000 1
As1 As 0.000 0.500 0.000 1
As2 As 0.000 0.000 0.500 1
As3 As 0.500 0.000 0.000 1
V1 V 0.500 0.500 0.500 1
# Relative energy among the computed polymorphs (kJ/mol of formula units): 0.0
# Magnetization (μB per formula unit): 2.62
# VASP energy (eV/atom): -5.210
# SG: Pm-3m (221)

***

(4)
# MnNi2Ge2, relaxed, DFT PBE
data_MnNi2Ge2
_chemical_formula_sum 'Mn1 Ni2 Ge2'
_space_group_name_H-M_alt 'P 1'
_space_group_IT_number 1
_space_group_name_Hall 'P 1'
_cell_length_a 3.717
_cell_length_b 3.717
_cell_length_c 5.819
_cell_angle_alpha 71.37
_cell_angle_beta 71.37
_cell_angle_gamma 90.00
loop_
_atom_site_label
_atom_site_type_symbol
_atom_site_fract_x
_atom_site_fract_y
_atom_site_fract_z
_atom_site_occupancy
Ni1 Ni 0.750 0.250 0.500 1
Ni2 Ni 0.250 0.750 0.500 1
Ge1 Ge 0.386 0.386 0.228 1
Ge2 Ge 0.614 0.614 0.772 1
Mn1 Mn 0.000 0.000 0.000 1
# Relative energy among the computed polymorphs (kJ/mol of formula units): 15.4
# Magnetization (μB per formula unit): 3.58
# VASP energy (eV/atom): -6.026
# SG: I4/mmm (139)

***

(5)
# Y2Ga3Ni, relaxed, DFT PBE
data_Y2Ga3Ni
_chemical_formula_sum 'Y2 Ga3 Ni1'
_space_group_name_H-M_alt 'P 1'
_space_group_IT_number 1
_space_group_name_Hall 'P 1'
_cell_length_a 4.359
_cell_length_b 5.572
_cell_length_c 5.661
_cell_angle_alpha 78.72
_cell_angle_beta 67.36
_cell_angle_gamma 66.97
loop_
_atom_site_label
_atom_site_type_symbol
_atom_site_fract_x
_atom_site_fract_y
_atom_site_fract_z
_atom_site_occupancy
Y1 Y 0.539 0.212 0.710 1
Y2 Y 0.453 0.797 0.297 1
Ga1 Ga 0.852 0.613 0.683 1
Ga2 Ga 0.823 0.229 0.124 1
Ga3 Ga 0.164 0.765 0.907 1
Ni1 Ni 0.168 0.384 0.279 1
# Magnetization (μB per formula unit): 0.00
# VASP energy (eV/atom): -5.290
# SG: Cm (8)

***

(6)
# VHI2N, relaxed, DFT PBE
data_VHI2N
_chemical_formula_sum 'V1 H1 I2 N1'
_space_group_name_H-M_alt 'P 1'
_space_group_IT_number 1
_space_group_name_Hall 'P 1'
_cell_length_a 5.018
_cell_length_b 3.436
_cell_length_c 5.018
_cell_angle_alpha 90.00
_cell_angle_beta 90.00
_cell_angle_gamma 90.00
loop_
_atom_site_label
_atom_site_type_symbol
_atom_site_fract_x
_atom_site_fract_y
_atom_site_fract_z
_atom_site_occupancy
I1 I 0.000 0.000 0.500 1
I2 I 0.500 0.000 0.000 1
H1 H 0.000 0.000 0.000 1
N1 N 0.500 0.500 0.500 1
V1 V 0.000 0.500 0.000 1
# Relative energy among the computed polymorphs (kJ/mol of formula units): 509.9
# Magnetization (μB per formula unit): 0.83
# VASP energy (eV/atom): -3.267
# SG: P4/mmm (123)

***

| no. | volume (Å³ per cell) |
| --- | --- |
| 1 | 234.0 |
| 2 | 165.8 |
| 3 | 96.8 |
| 4 | 71.7 |
| 5 | 116.6 |
| 6 | 86.5 |